The following is a DFT calculation (GGA-PBE) of a geometry-optimized GePPbCl2 structure.

Its density is 3.86 g/cm3. Its polymorph energy (0 for the lowest one) is 0.4365 eV per atom. The value obtained for the formation energy from raw total energies is 0.349 eV per atom. Its density of states at the Fermi level is 0.536 states/eV/atom.

It has space group P4/mmm (No. 123), with a = 5.3962 Å, b = 5.3962 Å, c = 5.6383 Å, α = 90.00°, β = 90.00° and γ = 90.00°. The distinct sites, in fractional coordinates, are Ge at (0.0000, 0.0000, 0.0000), P at (0.5000, 0.5000, 0.0000), Pb at (0.5000, 0.5000, 0.5000) and Cl at (0.0000, 0.5000, 0.5000).